# 1
Entry from the Alexandria database: crystalline TlSnCl2O at its relaxed geometry (PBE).

The structure in POSCAR format:
```
TlSnCl2O
1.0
-4.253 -2.099 -2.997
3.157 -4.428 -1.379
-1.348 -1.991 3.307
Tl Sn O Cl
1 1 1 2
direct
0.500 0.500 0.500
0.000 0.000 0.000
0.000 0.000 0.500
0.000 0.500 0.000
0.500 0.000 0.000
```

Results
The total magnetic moment is 0.000 μB per cell. The value obtained for the formation energy (no corrections) is -0.959 eV/atom. Its space-group type is No. 123. The raw total energy comes out at -3.964 eV/atom.

=====

# 2
Entry from the Alexandria database: crystalline SrVSN2 at its relaxed geometry (PBE).

The structure in POSCAR format:
```
SrVSN2
1.0
3.848 0.000 0.000
0.000 9.719 0.000
0.000 0.000 3.848
Sr S N V
1 1 2 1
direct
0.000 0.500 0.000
0.500 0.500 0.500
0.000 0.000 0.500
0.500 0.000 0.000
0.000 0.000 0.000
```

Results
The total magnetic moment is 0.363 μB per cell. The value obtained for the formation energy (no corrections) is -0.004 eV/atom. Its space-group type is No. 123. The raw total energy comes out at -6.320 eV/atom.

=====

- total magnetic moment of number 1 (TlSnCl2O)?
  0.000 μB per cell